Version w
# GGA-PBE La5PmNd4, optimized geometry
data_La5PmNd4
_cell_length_a 6.966
_cell_length_b 9.264
_cell_length_c 11.752
_cell_angle_alpha 90.00
_cell_angle_beta 90.00
_cell_angle_gamma 90.00
_symmetry_space_group_name_H-M 'P m m n'
_symmetry_Int_Tables_number 59
loop_
_symmetry_equiv_pos_as_xyz
'x,y,z'
'-x,-y,-z'
'-x+1/2,-y+1/2,z'
'x+1/2,y+1/2,-z'
'x+1/2,-y,-z'
'-x+1/2,y,z'
'-x,y+1/2,-z'
'x,-y+1/2,z'
loop_
_atom_site_label
_atom_site_type_symbol
_atom_site_fract_x
_atom_site_fract_y
_atom_site_fract_z
La1 La 0.005 0.068 0.219
La2 La 0.250 0.250 0.714
Pm1 Pm 0.250 0.750 0.318
Nd1 Nd 0.004 0.750 0.041
Nd2 Nd 0.250 0.047 0.494
# - Total magnetization: 0.00 μB per formula unit
# - Volume: 37.918 A^3/atom

---

Version x
# GGA-PBE La5PmNd4, optimized geometry
data_La5PmNd4
_cell_length_a 17.911
_cell_length_b 3.659
_cell_length_c 11.333
_cell_angle_alpha 90.00
_cell_angle_beta 90.23
_cell_angle_gamma 90.00
_symmetry_space_group_name_H-M 'C 1 2/m 1'
_symmetry_Int_Tables_number 12
loop_
_symmetry_equiv_pos_as_xyz
'x,y,z'
'-x,-y,-z'
'-x,y,-z'
'x,-y,z'
'x+1/2,y+1/2,z'
'-x+1/2,-y+1/2,-z'
'-x+1/2,y+1/2,-z'
'x+1/2,-y+1/2,z'
loop_
_atom_site_label
_atom_site_type_symbol
_atom_site_fract_x
_atom_site_fract_y
_atom_site_fract_z
La1 La 0.000 0.000 0.000
La2 La 0.174 0.500 0.557
La3 La 0.174 0.500 0.941
Pm1 Pm 0.000 0.000 0.500
Nd1 Nd 0.028 0.500 0.749
Nd2 Nd 0.150 0.000 0.249
# - Total magnetization: 0.00 μB per formula unit
# - Volume: 37.137 A^3/atom

---

Which of them is the most stable? Correct choice: version x.

---

Version w
# GGA-PBE La12Pm7Nd, optimized geometry
data_La12Pm7Nd
_cell_length_a 12.6288
_cell_length_b 12.6288
_cell_length_c 15.6162
_cell_angle_alpha 90.00
_cell_angle_beta 90.00
_cell_angle_gamma 120.00
_symmetry_space_group_name_H-M 'R -3'
_symmetry_Int_Tables_number 148
_symmetry_space_group_name_Hall '-R 3'
loop_
_atom_site_label
_atom_site_type_symbol
_atom_site_fract_x
_atom_site_fract_y
_atom_site_fract_z
La1 La 0.0150 0.4367 0.2193
La2 La 0.0623 0.5945 0.5806
Pm1 Pm 0.0000 0.0000 0.0000
Pm2 Pm 0.0519 0.1844 0.3035
Nd1 Nd 0.0000 0.0000 0.5000
# - Total magnetization: 0.00 μB per formula unit
# - Volume: 35.948 A^3/atom

---

Version x
# GGA-PBE La12Pm7Nd, optimized geometry
data_La12Pm7Nd
_cell_length_a 18.9933
_cell_length_b 18.9933
_cell_length_c 7.0713
_cell_angle_alpha 90.00
_cell_angle_beta 90.00
_cell_angle_gamma 120.00
_symmetry_space_group_name_H-M 'R -3'
_symmetry_Int_Tables_number 148
_symmetry_space_group_name_Hall '-R 3'
loop_
_atom_site_label
_atom_site_type_symbol
_atom_site_fract_x
_atom_site_fract_y
_atom_site_fract_z
La1 La 0.0014 0.7860 0.2902
La2 La 0.0082 0.4691 0.7388
Pm1 Pm 0.0000 0.0000 0.5000
Pm2 Pm 0.0060 0.8500 0.7723
Nd1 Nd 0.0000 0.0000 0.0000
# - Total magnetization: 0.00 μB per formula unit
# - Volume: 36.820 A^3/atom

---

Which of them is the most stable? Correct choice: version w.

---

Version w
# GGA-PBE La5Pm12Nd2, optimized geometry
data_La5Pm12Nd2
_cell_length_a 13.269
_cell_length_b 11.843
_cell_length_c 9.614
_cell_angle_alpha 90.00
_cell_angle_beta 116.23
_cell_angle_gamma 90.00
_symmetry_space_group_name_H-M 'C 1 2/m 1'
_symmetry_Int_Tables_number 12
loop_
_symmetry_equiv_pos_as_xyz
'x,y,z'
'-x,-y,-z'
'-x,y,-z'
'x,-y,z'
'x+1/2,y+1/2,z'
'-x+1/2,-y+1/2,-z'
'-x+1/2,y+1/2,-z'
'x+1/2,-y+1/2,z'
loop_
_atom_site_label
_atom_site_type_symbol
_atom_site_fract_x
_atom_site_fract_y
_atom_site_fract_z
La1 La 0.000 0.000 0.000
La2 La 0.186 0.500 0.729
La3 La 0.195 0.000 0.830
Pm1 Pm 0.077 0.500 0.285
Pm2 Pm 0.105 0.276 0.919
Pm3 Pm 0.120 0.000 0.444
Pm4 Pm 0.195 0.248 0.307
Nd1 Nd 0.000 0.264 0.500
# - Total magnetization: 0.00 μB per formula unit
# - Volume: 35.661 A^3/atom

---

Version x
# GGA-PBE La5Pm12Nd2, optimized geometry
data_La5Pm12Nd2
_cell_length_a 18.334
_cell_length_b 9.416
_cell_length_c 8.983
_cell_angle_alpha 90.00
_cell_angle_beta 118.39
_cell_angle_gamma 90.00
_symmetry_space_group_name_H-M 'C 1 2/m 1'
_symmetry_Int_Tables_number 12
loop_
_symmetry_equiv_pos_as_xyz
'x,y,z'
'-x,-y,-z'
'-x,y,-z'
'x,-y,z'
'x+1/2,y+1/2,z'
'-x+1/2,-y+1/2,-z'
'-x+1/2,y+1/2,-z'
'x+1/2,-y+1/2,z'
loop_
_atom_site_label
_atom_site_type_symbol
_atom_site_fract_x
_atom_site_fract_y
_atom_site_fract_z
La1 La 0.000 0.000 0.000
La2 La 0.221 0.500 0.736
La3 La 0.234 0.000 0.810
Pm1 Pm 0.045 0.000 0.688
Pm2 Pm 0.082 0.500 0.244
Pm3 Pm 0.117 0.291 0.951
Pm4 Pm 0.149 0.179 0.420
Nd1 Nd 0.000 0.331 0.500
# - Total magnetization: 0.00 μB per formula unit
# - Volume: 35.900 A^3/atom

---

Which of them is the most stable? Correct choice: version w.

---

Version w
# GGA-PBE La4Pm5Nd, optimized geometry
data_La4Pm5Nd
_cell_length_a 10.692
_cell_length_b 10.692
_cell_length_c 6.126
_cell_angle_alpha 90.00
_cell_angle_beta 90.00
_cell_angle_gamma 90.00
_symmetry_space_group_name_H-M 'P 4/n m m'
_symmetry_Int_Tables_number 129
loop_
_symmetry_equiv_pos_as_xyz
'x,y,z'
'-x,-y,-z'
'-y+1/2,x,z'
'y+1/2,-x,-z'
'-x+1/2,-y+1/2,z'
'x+1/2,y+1/2,-z'
'y,-x+1/2,z'
'-y,x+1/2,-z'
'x+1/2,-y,-z'
'-x+1/2,y,z'
'-y,-x,-z'
'y,x,z'
'-x,y+1/2,-z'
'x,-y+1/2,z'
'y+1/2,x+1/2,-z'
'-y+1/2,-x+1/2,z'
loop_
_atom_site_label
_atom_site_type_symbol
_atom_site_fract_x
_atom_site_fract_y
_atom_site_fract_z
La1 La 0.049 0.750 0.131
Pm1 Pm 0.090 0.090 0.344
Pm2 Pm 0.250 0.750 0.500
Nd1 Nd 0.250 0.250 0.838
# - Total magnetization: 0.00 μB per formula unit
# - Volume: 35.019 A^3/atom

---

Version x
# GGA-PBE La4Pm5Nd, optimized geometry
data_La4Pm5Nd
_cell_length_a 17.636
_cell_length_b 3.628
_cell_length_c 11.489
_cell_angle_alpha 90.00
_cell_angle_beta 90.06
_cell_angle_gamma 90.00
_symmetry_space_group_name_H-M 'C 1 2/m 1'
_symmetry_Int_Tables_number 12
loop_
_symmetry_equiv_pos_as_xyz
'x,y,z'
'-x,-y,-z'
'-x,y,-z'
'x,-y,z'
'x+1/2,y+1/2,z'
'-x+1/2,-y+1/2,-z'
'-x+1/2,y+1/2,-z'
'x+1/2,-y+1/2,z'
loop_
_atom_site_label
_atom_site_type_symbol
_atom_site_fract_x
_atom_site_fract_y
_atom_site_fract_z
La1 La 0.031 0.000 0.250
La2 La 0.157 0.500 0.750
Pm1 Pm 0.000 0.500 0.500
Pm2 Pm 0.174 0.000 0.055
Pm3 Pm 0.174 0.000 0.445
Nd1 Nd 0.000 0.500 0.000
# - Total magnetization: 0.00 μB per formula unit
# - Volume: 36.753 A^3/atom

---

Which of them is the most stable? Correct choice: version w.

---

Version w
# GGA-PBE La4Pm2Nd3, optimized geometry
data_La4Pm2Nd3
_cell_length_a 11.664
_cell_length_b 5.255
_cell_length_c 11.105
_cell_angle_alpha 90.00
_cell_angle_beta 108.01
_cell_angle_gamma 90.00
_symmetry_space_group_name_H-M 'C 1 2/m 1'
_symmetry_Int_Tables_number 12
loop_
_symmetry_equiv_pos_as_xyz
'x,y,z'
'-x,-y,-z'
'-x,y,-z'
'x,-y,z'
'x+1/2,y+1/2,z'
'-x+1/2,-y+1/2,-z'
'-x+1/2,y+1/2,-z'
'x+1/2,-y+1/2,z'
loop_
_atom_site_label
_atom_site_type_symbol
_atom_site_fract_x
_atom_site_fract_y
_atom_site_fract_z
La1 La 0.001 0.000 0.169
La2 La 0.167 0.500 0.389
Pm1 Pm 0.168 0.500 0.724
Nd1 Nd 0.000 0.000 0.500
Nd2 Nd 0.166 0.500 0.054
# - Total magnetization: 0.00 μB per formula unit
# - Volume: 35.963 A^3/atom

---

Version x
# GGA-PBE La4Pm2Nd3, optimized geometry
data_La4Pm2Nd3
_cell_length_a 15.687
_cell_length_b 5.252
_cell_length_c 8.255
_cell_angle_alpha 90.00
_cell_angle_beta 108.46
_cell_angle_gamma 90.00
_symmetry_space_group_name_H-M 'C 1 2/m 1'
_symmetry_Int_Tables_number 12
loop_
_symmetry_equiv_pos_as_xyz
'x,y,z'
'-x,-y,-z'
'-x,y,-z'
'x,-y,z'
'x+1/2,y+1/2,z'
'-x+1/2,-y+1/2,-z'
'-x+1/2,y+1/2,-z'
'x+1/2,-y+1/2,z'
loop_
_atom_site_label
_atom_site_type_symbol
_atom_site_fract_x
_atom_site_fract_y
_atom_site_fract_z
La1 La 0.055 0.000 0.332
La2 La 0.223 0.500 0.332
Pm1 Pm 0.167 0.000 0.000
Nd1 Nd 0.000 0.500 0.000
Nd2 Nd 0.112 0.500 0.669
# - Total magnetization: 0.00 μB per formula unit
# - Volume: 35.838 A^3/atom

---

Which of them is the most stable? Correct choice: version x.

---

Version w
# GGA-PBE LaPm3Nd2, optimized geometry
data_LaPm3Nd2
_cell_length_a 7.3572
_cell_length_b 7.3572
_cell_length_c 9.0082
_cell_angle_alpha 90.00
_cell_angle_beta 90.00
_cell_angle_gamma 120.00
_symmetry_space_group_name_H-M 'P -3 m 1'
_symmetry_Int_Tables_number 164
_symmetry_space_group_name_Hall '-P 3 2"'
loop_
_atom_site_label
_atom_site_type_symbol
_atom_site_fract_x
_atom_site_fract_y
_atom_site_fract_z
La1 La 0.3333 0.6667 0.3340
Pm1 Pm 0.1665 0.3329 0.6670
Nd1 Nd 0.0000 0.0000 0.0000
Nd2 Nd 0.0000 0.5000 0.0000
# - Total magnetization: 0.00 μB per formula unit
# - Volume: 35.189 A^3/atom

---

Version x
# GGA-PBE LaPm3Nd2, optimized geometry
data_LaPm3Nd2
_cell_length_a 3.453
_cell_length_b 10.337
_cell_length_c 12.032
_cell_angle_alpha 90.00
_cell_angle_beta 90.00
_cell_angle_gamma 90.00
_symmetry_space_group_name_H-M 'I m m 2'
_symmetry_Int_Tables_number 44
loop_
_symmetry_equiv_pos_as_xyz
'x,y,z'
'-x,-y,z'
'-x,y,z'
'x,-y,z'
'x+1/2,y+1/2,z+1/2'
'-x+1/2,-y+1/2,z+1/2'
'-x+1/2,y+1/2,z+1/2'
'x+1/2,-y+1/2,z+1/2'
loop_
_atom_site_label
_atom_site_type_symbol
_atom_site_fract_x
_atom_site_fract_y
_atom_site_fract_z
La1 La 0.000 0.000 0.000
Pm1 Pm 0.000 0.166 0.749
Pm2 Pm 0.000 0.500 0.748
Nd1 Nd 0.000 0.335 0.998
# - Total magnetization: 0.00 μB per formula unit
# - Volume: 35.790 A^3/atom

---

Which of them is the most stable? Correct choice: version w.